1.
A relaxed AlGa2Au crystal, computed with PBE.

```
AlGa2Au
1.0
-1.880 -3.588 -1.422
2.678 -2.242 2.117
-2.512 0.040 3.220
Ga Al Au
2 1 1
Cartesian
1.339 -1.121 1.059
-1.256 0.020 1.610
-0.857 -2.895 1.958
-0.940 -1.794 -0.711
```

## Properties
density of states at the Fermi level: 1.40 states/eV/cell
space group: P4/mmm, No. 123
E_tot: -13.267 eV/cell
magnetic moment: 0.0 μB per cell
formation energy from the elements: -0.0484 eV per atom

2.
A relaxed TaNiPb2S5 crystal, computed with PBE.

```
TaNiPb2S5
1.0
-1.009 1.840 -2.946
-0.431 -8.278 -2.802
-12.013 -0.633 3.718
Ni Pb S Ta
2 4 10 2
Cartesian
-12.036 -0.835 1.380
-6.166 -6.487 -1.939
-8.170 -2.085 1.496
-4.013 -1.890 0.194
-3.180 -4.876 -4.176
-11.029 -5.265 -1.732
-0.655 -5.050 -2.929
-11.463 -2.566 0.103
-4.510 -7.425 -3.093
-10.117 0.292 1.426
-5.144 -4.672 -1.156
-8.396 -4.627 -0.015
-0.638 -0.791 -0.276
-6.817 -1.706 -0.951
-7.890 -6.021 -3.278
-2.758 -2.323 -2.727
-0.560 -2.827 -1.574
-7.290 -3.949 -2.190
```

## Properties
density of states at the Fermi level: 7.58 states/eV/cell
space group: Cmc2_1, No. 36
energy relative to the elements, uncorrected: -616.3 meV/atom
E_tot: -102.469 eV/cell
magnetic moment: 0.0 μB per cell

3.
A relaxed K4Zn crystal, computed with PBE.

```
K4Zn
1.0
6.540 3.061 1.176
-0.140 -6.677 2.986
-1.189 -0.524 -7.200
K Zn
4 1
Cartesian
-0.070 -3.338 1.493
2.606 -2.070 -1.519
3.270 1.531 0.588
-0.594 -0.262 -3.600
0.000 0.000 0.000
```

## Properties
energy above the most stable polymorph in this dataset: 0.0286 eV per atom
density of states at the Fermi level: 3.41 states/eV/cell
space group: Im-3m, No. 229
E_tot: -5.017 eV/cell
magnetic moment: 0.0 μB per cell
formation energy from the elements: 0.1295 eV per atom

4.
A relaxed Zr2VTeI crystal, computed with PBE.

```
Zr2VTeI
1.0
5.161 0.000 0.000
0.000 4.867 0.000
0.000 0.000 5.161
I V Te Zr
1 1 1 2
Cartesian
2.580 2.433 2.580
0.000 0.000 0.000
0.000 2.433 0.000
2.580 0.000 0.000
0.000 0.000 2.580
```

## Properties
density of states at the Fermi level: 5.66 states/eV/cell
space group: P4/mmm, No. 123
energy relative to the elements, uncorrected: 357.6 meV/atom
E_tot: -29.119 eV/cell
magnetic moment: 0.0 μB per cell

5.
A relaxed Cr3Pb crystal, computed with PBE.

```
Cr3Pb
1.0
3.076 0.000 0.000
-1.538 2.663 0.000
0.000 0.000 8.293
Cr Pb
3 1
Cartesian
1.538 0.888 2.073
0.000 0.000 0.367
0.000 0.000 3.779
1.538 0.888 6.220
```

## Properties
density of states at the Fermi level: 3.37 states/eV/cell
space group: P-6m2, No. 187
E_tot: -29.805 eV/cell
magnetic moment: 2.8 μB per cell
formation energy from the elements: 0.6933 eV per atom

6.
A relaxed CaPm3Rh4 crystal, computed with PBE.

```
CaPm3Rh4
1.0
-1.177 -4.362 2.066
3.411 1.796 5.736
-8.317 3.994 3.695
Rh Pm Ca
8 6 2
Cartesian
-6.582 -0.927 6.237
-3.914 0.255 4.281
1.989 -0.824 5.368
-2.169 1.174 7.215
0.244 -1.742 2.434
0.499 2.356 5.259
-1.246 1.437 2.324
-4.837 -0.008 9.172
0.000 0.000 0.000
-2.668 -1.182 1.956
-6.826 0.815 3.804
-0.963 -0.285 4.825
-4.158 1.997 1.847
-5.120 1.713 6.671
-2.453 2.895 4.715
1.705 0.898 2.868
```

## Properties
density of states at the Fermi level: 8.58 states/eV/cell
space group: P4/mmm, No. 123
E_tot: -101.243 eV/cell
magnetic moment: 0.0 μB per cell
formation energy from the elements: -0.6203 eV per atom

7.
A relaxed TaTi3Pd crystal, computed with PBE.

```
TaTi3Pd
1.0
-2.790 0.817 1.571
4.501 -2.997 6.063
2.853 5.374 2.257
Ta Pd Ti
2 2 6
Cartesian
2.894 3.432 6.810
1.671 -0.238 3.081
0.505 2.332 3.150
4.059 0.862 6.740
3.842 1.834 9.314
3.078 2.471 4.162
2.659 -1.844 5.669
1.487 0.723 5.728
0.723 1.360 0.576
1.906 5.038 4.221
```

## Properties
energy above the most stable polymorph in this dataset: 0.0000 eV per atom
density of states at the Fermi level: 12.73 states/eV/cell
space group: P-1, No. 2
E_tot: -83.550 eV/cell
magnetic moment: 0.0 μB per cell
formation energy from the elements: -0.2089 eV per atom

8.
A relaxed Li5Cd4Hg crystal, computed with PBE.

```
Li5Cd4Hg
1.0
-0.499 0.459 -3.295
1.585 -2.897 -0.644
-14.102 -7.944 1.028
Li Cd Hg
5 4 1
Cartesian
-6.508 -5.191 -1.455
-9.328 -6.779 -1.250
-12.189 -8.391 -1.041
-0.828 -1.991 -1.870
-3.689 -3.603 -1.661
-2.829 -1.594 0.206
-8.453 -4.761 0.616
-5.650 -3.183 0.412
-11.273 -6.350 0.822
0.000 0.000 0.000
```

## Properties
density of states at the Fermi level: 3.17 states/eV/cell
space group: P4/mmm, No. 123
E_tot: -16.311 eV/cell
magnetic moment: 0.0 μB per cell
formation energy from the elements: -0.2779 eV per atom